Record 1
This record from Alexandria via LeMat-Bulk describes a relaxed structure of AlAgCl. The functional is PBE.

## Properties
For the raw formation energy, the calculation gives 142 meV/atom. As for the symmetry: F-43m, No. 216. The excess energy over the best structure of this formula in the dataset comes out at 398.0 meV per atom. Its total energy is -2.672 eV/atom.

Lattice parameters (Å, degrees): 4.702 4.702 4.702 60.00 60.00 60.00
Element x y z (fractional)
Al 0.750 0.750 0.750
Ag 0.500 0.500 0.500
Cl 0.000 0.000 0.000



Record 2
This record from Alexandria via LeMat-Bulk describes a relaxed structure of AlAgCl. The functional is PBE.

## Properties
For the raw formation energy, the calculation gives -121 meV/atom. As for the symmetry: I4mm, No. 107. The excess energy over the best structure of this formula in the dataset comes out at 135.0 meV per atom. Its total energy is -2.934 eV/atom.

Lattice parameters (Å, degrees): 6.165 6.165 6.165 149.80 149.80 43.23
Element x y z (fractional)
Al 0.342 0.342 0.000
Ag 0.974 0.974 0.000
Cl 0.684 0.684 0.000